Record 1
# CsZnS3 | the Alexandria database | PBE-GGA | relaxed
data_CsZnS3
_cell_length_a 4.934
_cell_length_b 4.934
_cell_length_c 4.934
_cell_angle_alpha 90.00
_cell_angle_beta 90.00
_cell_angle_gamma 90.00
_space_group_name_H-M_alt 'P 1'
_space_group_IT_number 1
loop_
_space_group_symop_operation_xyz
'x,y,z'
loop_
_atom_site_label
_atom_site_type_symbol
_atom_site_fract_x
_atom_site_fract_y
_atom_site_fract_z
Zn1 Zn 0.000 0.000 0.000
S1 S 0.500 0.000 0.000
S2 S 0.000 0.000 0.500
S3 S 0.000 0.500 0.000
Cs1 Cs 0.500 0.500 0.500
# ΔE to the lowest computed polymorph in eV per atom: 0.0000


Record 2
# CsZnS3 | the Alexandria database | PBE-GGA | relaxed
data_CsZnS3
_cell_length_a 5.715
_cell_length_b 5.715
_cell_length_c 5.715
_cell_angle_alpha 90.00
_cell_angle_beta 90.00
_cell_angle_gamma 90.00
_space_group_name_H-M_alt 'P 1'
_space_group_IT_number 1
loop_
_space_group_symop_operation_xyz
'x,y,z'
loop_
_atom_site_label
_atom_site_type_symbol
_atom_site_fract_x
_atom_site_fract_y
_atom_site_fract_z
Zn1 Zn 0.500 0.500 0.500
Cs1 Cs 0.000 0.000 0.000
S1 S 0.500 0.000 0.000
S2 S 0.000 0.000 0.500
S3 S 0.000 0.500 0.000
# ΔE to the lowest computed polymorph in eV per atom: 1.3771


Record 3
Density functional theory data (PBE-GGA) for a relaxed structure of CsZn3S3.

The structure in CIF format:
```
data_CsZn3S3
_cell_length_a 7.182
_cell_length_b 7.182
_cell_length_c 9.352
_cell_angle_alpha 67.42
_cell_angle_beta 67.42
_cell_angle_gamma 60.00
_space_group_name_H-M_alt 'P 1'
_space_group_IT_number 1
loop_
_space_group_symop_operation_xyz
'x,y,z'
loop_
_atom_site_label
_atom_site_type_symbol
_atom_site_fract_x
_atom_site_fract_y
_atom_site_fract_z
Cs1 Cs 0.667 0.667 0.000
Cs2 Cs 0.333 0.333 0.000
S1 S 0.228 0.557 0.321
S2 S 0.894 0.228 0.321
S3 S 0.557 0.894 0.321
S4 S 0.443 0.106 0.679
S5 S 0.772 0.443 0.679
S6 S 0.106 0.772 0.679
Zn1 Zn 0.872 0.545 0.379
Zn2 Zn 0.204 0.872 0.379
Zn3 Zn 0.455 0.796 0.621
Zn4 Zn 0.128 0.455 0.621
Zn5 Zn 0.545 0.204 0.379
Zn6 Zn 0.796 0.128 0.621
```


Record 4
# Cs3ZnS | the Alexandria database | PBE-GGA | relaxed
data_Cs3ZnS
_cell_length_a 6.787
_cell_length_b 6.787
_cell_length_c 6.787
_cell_angle_alpha 90.00
_cell_angle_beta 90.00
_cell_angle_gamma 90.00
_space_group_name_H-M_alt 'P 1'
_space_group_IT_number 1
loop_
_space_group_symop_operation_xyz
'x,y,z'
loop_
_atom_site_label
_atom_site_type_symbol
_atom_site_fract_x
_atom_site_fract_y
_atom_site_fract_z
Cs1 Cs 0.000 0.500 0.000
Cs2 Cs 0.500 0.000 0.000
Cs3 Cs 0.000 0.000 0.500
S1 S 0.000 0.000 0.000
Zn1 Zn 0.500 0.500 0.500
# ΔE to the lowest computed polymorph in eV per atom: 0.0000


Number 1: density of states at the Fermi level 1.294 states/eV per atom, formation energy (no corrections) -0.05 eV/atom. Number 2: density of states at the Fermi level 1.879 states/eV per atom, formation energy (no corrections) 1.33 eV/atom. Number 3: density of states at the Fermi level 0.353 states/eV per atom, formation energy (no corrections) -0.62 eV/atom. Number 4: density of states at the Fermi level 1.161 states/eV per atom, formation energy (no corrections) -0.40 eV/atom.